(1)
## SrIrW2 (meta-GGA SCAN)

Data for a PBEsol-optimized structure of SrIrW2.

The space group is Pm (No. 6) and the conventional cell measures 2.9178, 3.0998 and 8.4417 Å, with angles of 90.00, 94.30 and 90.00 degrees. The asymmetric unit holds Sr at (0.0000, 0.0000, 0.0000), Ir at (0.4546, 0.5000, 0.7237), W at (0.4990, 0.5000, 0.3260) and W at (0.8951, 0.0000, 0.5345).

The electronic total energy comes out at -57.708 eV/atom. For the excess energy over the best structure of this formula in the dataset, the calculation gives 0 meV/atom. The formation enthalpy at 0 K is 0.479 eV/atom. As for the density of states at the Fermi level: 3.50 states/eV/f.u.



(2)
## Sr2Ir2W (meta-GGA SCAN)

Data for a PBEsol-optimized structure of Sr2Ir2W.

The space group is I4/mmm (No. 139) and the conventional cell measures 3.8429, 3.8429 and 13.8763 Å, with angles of 90.00, 90.00 and 90.00 degrees. The asymmetric unit holds Sr at (0.0000, 0.5000, 0.2500), Ir at (0.0000, 0.0000, 0.0871) and W at (0.0000, 0.0000, 0.5000).

The electronic total energy comes out at -49.812 eV/atom. The formation enthalpy at 0 K is 1.475 eV/atom. As for the density of states at the Fermi level: 4.29 states/eV/f.u.



(3)
## SrIrW2 (meta-GGA SCAN)

Data for a PBEsol-optimized structure of SrIrW2.

The space group is Pmmm (No. 47) and the conventional cell measures 2.7978, 3.8288 and 7.4993 Å, with angles of 90.00, 90.00 and 90.00 degrees. The asymmetric unit holds Sr at (0.0000, 0.0000, 0.0000), Ir at (0.0000, 0.0000, 0.5000) and W at (0.5000, 0.5000, 0.3309).

The electronic total energy comes out at -57.491 eV/atom. For the excess energy over the best structure of this formula in the dataset, the calculation gives 217 meV/atom. The formation enthalpy at 0 K is 0.696 eV/atom. As for the density of states at the Fermi level: 3.60 states/eV/f.u.



(4)
## SrYIr4 (meta-GGA SCAN)

Data for a PBEsol-optimized structure of SrYIr4.

The space group is F-43m (No. 216) and the conventional cell measures 7.5609, 7.5609 and 7.5609 Å, with angles of 90.00, 90.00 and 90.00 degrees. The asymmetric unit holds Sr at (0.0000, 0.0000, 0.0000), Y at (0.2500, 0.2500, 0.2500) and Ir at (0.1249, 0.1249, 0.6249).

The electronic total energy comes out at -56.410 eV/atom. The formation enthalpy at 0 K is -0.657 eV/atom. As for the density of states at the Fermi level: 6.40 states/eV/f.u.



(5)
## SrYZnIr2 (meta-GGA SCAN)

Data for a PBEsol-optimized structure of SrYZnIr2.

The space group is P4/mmm (No. 123) and the conventional cell measures 4.7408, 4.7408 and 4.8264 Å, with angles of 90.00, 90.00 and 90.00 degrees. The asymmetric unit holds Sr at (0.0000, 0.0000, 0.0000), Y at (0.5000, 0.5000, 0.0000), Zn at (0.0000, 0.0000, 0.5000) and Ir at (0.0000, 0.5000, 0.5000).

The electronic total energy comes out at -40.825 eV/atom. For the excess energy over the best structure of this formula in the dataset, the calculation gives 44 meV/atom. The formation enthalpy at 0 K is 0.341 eV/atom. As for the density of states at the Fermi level: 1.72 states/eV/f.u.



(6)
## SrYZnIr2 (meta-GGA SCAN)

Data for a PBEsol-optimized structure of SrYZnIr2.

The space group is P4/mmm (No. 123) and the conventional cell measures 4.7555, 4.7555 and 4.8539 Å, with angles of 90.00, 90.00 and 90.00 degrees. The asymmetric unit holds Sr at (0.0000, 0.0000, 0.0000), Y at (0.5000, 0.5000, 0.0000), Zn at (0.5000, 0.5000, 0.5000) and Ir at (0.0000, 0.5000, 0.5000).

The electronic total energy comes out at -40.869 eV/atom. For the excess energy over the best structure of this formula in the dataset, the calculation gives 0 meV/atom. The formation enthalpy at 0 K is 0.297 eV/atom. As for the density of states at the Fermi level: 1.85 states/eV/f.u.



(7)
## SrZnIr2 (meta-GGA SCAN)

Data for a PBEsol-optimized structure of SrZnIr2.

The space group is I-4m2 (No. 119) and the conventional cell measures 4.2377, 4.2377 and 7.7693 Å, with angles of 90.00, 90.00 and 90.00 degrees. The asymmetric unit holds Sr at (0.0000, 0.0000, 0.0000), Zn at (0.0000, 0.5000, 0.2500), Ir at (0.0000, 0.0000, 0.5000) and Ir at (0.0000, 0.5000, 0.7500).

The electronic total energy comes out at -44.060 eV/atom. The formation enthalpy at 0 K is 0.437 eV/atom. As for the density of states at the Fermi level: 4.86 states/eV/f.u.



(8)
## Sr2ZnIr (meta-GGA SCAN)

Data for a PBEsol-optimized structure of Sr2ZnIr.

The space group is Amm2 (No. 38) and the conventional cell measures 4.3506, 4.4591 and 11.0661 Å, with angles of 90.00, 90.00 and 90.00 degrees. The asymmetric unit holds Sr at (0.0000, 0.0000, 0.0000), Sr at (0.5000, 0.0000, 0.2831), Zn at (0.0000, 0.0000, 0.6952) and Ir at (0.5000, 0.0000, 0.5865).

The electronic total energy comes out at -32.624 eV/atom. The formation enthalpy at 0 K is -0.333 eV/atom. As for the density of states at the Fermi level: 1.68 states/eV/f.u.



Question: electronic total energy of number 3 (SrIrW2)?
Answer: -57.491 eV/atom